1.
# ZrZnFeOs2 PBE-GGA relaxed
data_ZrZnFeOs2
_cell_length_a 4.853
_cell_length_b 4.853
_cell_length_c 4.579
_cell_angle_alpha 90.00
_cell_angle_beta 90.00
_cell_angle_gamma 90.00
_symmetry_space_group_name_H-M 'P 4/m m m'
_symmetry_Int_Tables_number 123
_symmetry_space_group_name_Hall '-P 4 2'
loop_
_atom_site_label
_atom_site_fract_x
_atom_site_fract_y
_atom_site_fract_z
_atom_site_occupancy
Zr1 0.000 0.000 0.000 1
Zn1 0.500 0.500 0.500 1
Fe1 0.000 0.000 0.500 1
Os1 0.000 0.500 0.000 1
# Formation enthalpy at 0 K = 2.066 eV/atom
# Total moment = 3.76 Bohr magnetons per cell

2.
# Zr8Fe2Os PBE-GGA relaxed
data_Zr8Fe2Os
_cell_length_a 7.469
_cell_length_b 12.168
_cell_length_c 5.183
_cell_angle_alpha 90.00
_cell_angle_beta 108.33
_cell_angle_gamma 90.00
_symmetry_space_group_name_H-M 'C 1 2/m 1'
_symmetry_Int_Tables_number 12
loop_
_symmetry_equiv_pos_as_xyz
'x,y,z'
'-x,-y,-z'
'-x,y,-z'
'x,-y,z'
'x+1/2,y+1/2,z'
'-x+1/2,-y+1/2,-z'
'-x+1/2,y+1/2,-z'
'x+1/2,-y+1/2,z'
loop_
_atom_site_label
_atom_site_fract_x
_atom_site_fract_y
_atom_site_fract_z
_atom_site_occupancy
Zr1 0.000 0.226 0.000 1
Zr2 0.128 0.500 0.830 1
Zr3 0.209 0.123 0.576 1
Fe1 0.000 0.294 0.500 1
Os1 0.000 0.000 0.000 1
# Formation enthalpy at 0 K = -0.041 eV/atom
# Total moment = 0.00 Bohr magnetons per cell

3.
# ZrFe2Os PBE-GGA relaxed
data_ZrFe2Os
_cell_length_a 3.150
_cell_length_b 4.403
_cell_length_c 8.641
_cell_angle_alpha 90.00
_cell_angle_beta 90.00
_cell_angle_gamma 90.00
_symmetry_space_group_name_H-M 'C m m m'
_symmetry_Int_Tables_number 65
_symmetry_space_group_name_Hall '-C 2 2'
loop_
_atom_site_label
_atom_site_fract_x
_atom_site_fract_y
_atom_site_fract_z
_atom_site_occupancy
Zr1 0.000 0.000 0.000 1
Fe1 0.000 0.500 0.269 1
Os1 0.000 0.000 0.500 1
# Formation enthalpy at 0 K = 0.350 eV/atom
# Total moment = 9.78 Bohr magnetons per cell

4.
# Zr2Fe3Os PBE-GGA relaxed
data_Zr2Fe3Os
_cell_length_a 4.9944
_cell_length_b 4.9944
_cell_length_c 12.7223
_cell_angle_alpha 90.00
_cell_angle_beta 90.00
_cell_angle_gamma 120.00
_symmetry_space_group_name_H-M 'R -3 m'
_symmetry_Int_Tables_number 166
_symmetry_space_group_name_Hall '-R 3 2"'
loop_
_atom_site_label
_atom_site_fract_x
_atom_site_fract_y
_atom_site_fract_z
_atom_site_occupancy
Zr1 0.0000 0.0000 0.1242 1
Fe1 0.0000 0.5000 0.0000 1
Os1 0.0000 0.0000 0.5000 1
# Formation enthalpy at 0 K = -0.317 eV/atom
# Total moment = 16.45 Bohr magnetons per cell

5.
# ZrFe2Os PBE-GGA relaxed
data_ZrFe2Os
_cell_length_a 3.910
_cell_length_b 3.910
_cell_length_c 7.895
_cell_angle_alpha 90.00
_cell_angle_beta 90.00
_cell_angle_gamma 90.00
_symmetry_space_group_name_H-M 'I -4 m 2'
_symmetry_Int_Tables_number 119
_symmetry_space_group_name_Hall 'I -4 -2'
loop_
_atom_site_label
_atom_site_fract_x
_atom_site_fract_y
_atom_site_fract_z
_atom_site_occupancy
Zr1 0.000 0.000 0.000 1
Fe1 0.000 0.000 0.500 1
Fe2 0.000 0.500 0.750 1
Os1 0.000 0.500 0.250 1
# Formation enthalpy at 0 K = 0.126 eV/atom
# Total moment = 10.74 Bohr magnetons per cell

6.
# ZrFe2Os PBE-GGA relaxed
data_ZrFe2Os
_cell_length_a 3.799
_cell_length_b 3.799
_cell_length_c 4.181
_cell_angle_alpha 90.00
_cell_angle_beta 90.00
_cell_angle_gamma 90.00
_symmetry_space_group_name_H-M 'P 4/m m m'
_symmetry_Int_Tables_number 123
_symmetry_space_group_name_Hall '-P 4 2'
loop_
_atom_site_label
_atom_site_fract_x
_atom_site_fract_y
_atom_site_fract_z
_atom_site_occupancy
Zr1 0.000 0.000 0.000 1
Fe1 0.000 0.500 0.500 1
Os1 0.500 0.500 0.000 1
# Formation enthalpy at 0 K = 0.048 eV/atom
# Total moment = 5.28 Bohr magnetons per cell

7.
# Zr4Fe3Os PBE-GGA relaxed
data_Zr4Fe3Os
_cell_length_a 3.220
_cell_length_b 3.220
_cell_length_c 12.750
_cell_angle_alpha 90.00
_cell_angle_beta 90.00
_cell_angle_gamma 90.00
_symmetry_space_group_name_H-M 'P 4/m m m'
_symmetry_Int_Tables_number 123
_symmetry_space_group_name_Hall '-P 4 2'
loop_
_atom_site_label
_atom_site_fract_x
_atom_site_fract_y
_atom_site_fract_z
_atom_site_occupancy
Zr1 0.000 0.000 0.123 1
Zr2 0.000 0.000 0.369 1
Fe1 0.500 0.500 0.000 1
Fe2 0.500 0.500 0.246 1
Os1 0.500 0.500 0.500 1
# Formation enthalpy at 0 K = -0.271 eV/atom
# Total moment = 0.21 Bohr magnetons per cell

8.
# ZrFe2Os PBE-GGA relaxed
data_ZrFe2Os
_cell_length_a 3.134
_cell_length_b 4.336
_cell_length_c 8.716
_cell_angle_alpha 90.00
_cell_angle_beta 90.00
_cell_angle_gamma 90.00
_symmetry_space_group_name_H-M 'I m m 2'
_symmetry_Int_Tables_number 44
loop_
_symmetry_equiv_pos_as_xyz
'x,y,z'
'-x,-y,z'
'-x,y,z'
'x,-y,z'
'x+1/2,y+1/2,z+1/2'
'-x+1/2,-y+1/2,z+1/2'
'-x+1/2,y+1/2,z+1/2'
'x+1/2,-y+1/2,z+1/2'
loop_
_atom_site_label
_atom_site_fract_x
_atom_site_fract_y
_atom_site_fract_z
_atom_site_occupancy
Zr1 0.000 0.000 0.000 1
Fe1 0.000 0.000 0.495 1
Fe2 0.000 0.500 0.761 1
Os1 0.000 0.500 0.239 1
# Formation enthalpy at 0 K = 0.010 eV/atom
# Total moment = 9.58 Bohr magnetons per cell

9.
# ZrFe2Os PBE-GGA relaxed
data_ZrFe2Os
_cell_length_a 3.123
_cell_length_b 3.123
_cell_length_c 6.064
_cell_angle_alpha 90.00
_cell_angle_beta 90.00
_cell_angle_gamma 90.00
_symmetry_space_group_name_H-M 'P 4/m m m'
_symmetry_Int_Tables_number 123
_symmetry_space_group_name_Hall '-P 4 2'
loop_
_atom_site_label
_atom_site_fract_x
_atom_site_fract_y
_atom_site_fract_z
_atom_site_occupancy
Zr1 0.000 0.000 0.000 1
Fe1 0.500 0.500 0.275 1
Os1 0.000 0.000 0.500 1
# Formation enthalpy at 0 K = 0.089 eV/atom
# Total moment = 4.24 Bohr magnetons per cell

10.
# Zr6Fe2Os PBE-GGA relaxed
data_Zr6Fe2Os
_cell_length_a 8.784
_cell_length_b 8.823
_cell_length_c 8.931
_cell_angle_alpha 90.00
_cell_angle_beta 90.00
_cell_angle_gamma 90.00
_symmetry_space_group_name_H-M 'I m m m'
_symmetry_Int_Tables_number 71
_symmetry_space_group_name_Hall '-I 2 2'
loop_
_atom_site_label
_atom_site_fract_x
_atom_site_fract_y
_atom_site_fract_z
_atom_site_occupancy
Zr1 0.000 0.190 0.249 1
Zr2 0.197 0.500 0.174 1
Zr3 0.230 0.315 0.500 1
Fe1 0.000 0.344 0.000 1
Fe2 0.000 0.500 0.384 1
Os1 0.000 0.000 0.000 1
Os2 0.000 0.000 0.500 1
# Formation enthalpy at 0 K = -0.205 eV/atom
# Total moment = 0.00 Bohr magnetons per cell

11.
# ZrFe2Os PBE-GGA relaxed
data_ZrFe2Os
_cell_length_a 3.195
_cell_length_b 4.342
_cell_length_c 8.735
_cell_angle_alpha 90.00
_cell_angle_beta 90.00
_cell_angle_gamma 90.00
_symmetry_space_group_name_H-M 'I m m m'
_symmetry_Int_Tables_number 71
_symmetry_space_group_name_Hall '-I 2 2'
loop_
_atom_site_label
_atom_site_fract_x
_atom_site_fract_y
_atom_site_fract_z
_atom_site_occupancy
Zr1 0.000 0.000 0.000 1
Fe1 0.000 0.500 0.240 1
Os1 0.000 0.000 0.500 1
# Formation enthalpy at 0 K = 0.006 eV/atom
# Total moment = 10.36 Bohr magnetons per cell

12.
# ZrFe2Os PBE-GGA relaxed
data_ZrFe2Os
_cell_length_a 2.7712
_cell_length_b 2.7712
_cell_length_c 27.1734
_cell_angle_alpha 90.00
_cell_angle_beta 90.00
_cell_angle_gamma 120.00
_symmetry_space_group_name_H-M 'R -3 m'
_symmetry_Int_Tables_number 166
_symmetry_space_group_name_Hall '-R 3 2"'
loop_
_atom_site_label
_atom_site_fract_x
_atom_site_fract_y
_atom_site_fract_z
_atom_site_occupancy
Zr1 0.0000 0.0000 0.0000 1
Fe1 0.0000 0.0000 0.2432 1
Os1 0.0000 0.0000 0.5000 1
# Formation enthalpy at 0 K = 0.346 eV/atom
# Total moment = 15.10 Bohr magnetons per cell

13.
# ZrFe2Os PBE-GGA relaxed
data_ZrFe2Os
_cell_length_a 3.147
_cell_length_b 3.147
_cell_length_c 6.037
_cell_angle_alpha 90.00
_cell_angle_beta 90.00
_cell_angle_gamma 90.00
_symmetry_space_group_name_H-M 'P 4 m m'
_symmetry_Int_Tables_number 99
loop_
_symmetry_equiv_pos_as_xyz
'x,y,z'
'-y,x,z'
'-x,-y,z'
'y,-x,z'
'-x,y,z'
'y,x,z'
'x,-y,z'
'-y,-x,z'
loop_
_atom_site_label
_atom_site_fract_x
_atom_site_fract_y
_atom_site_fract_z
_atom_site_occupancy
Zr1 0.000 0.000 0.000 1
Fe1 0.000 0.000 0.485 1
Fe2 0.500 0.500 0.273 1
Os1 0.500 0.500 0.721 1
# Formation enthalpy at 0 K = -0.019 eV/atom
# Total moment = 4.88 Bohr magnetons per cell

14.
# Zr5Fe4Os PBE-GGA relaxed
data_Zr5Fe4Os
_cell_length_a 3.205
_cell_length_b 3.205
_cell_length_c 15.961
_cell_angle_alpha 90.00
_cell_angle_beta 90.00
_cell_angle_gamma 90.00
_symmetry_space_group_name_H-M 'P 4/m m m'
_symmetry_Int_Tables_number 123
_symmetry_space_group_name_Hall '-P 4 2'
loop_
_atom_site_label
_atom_site_fract_x
_atom_site_fract_y
_atom_site_fract_z
_atom_site_occupancy
Zr1 0.000 0.000 0.000 1
Zr2 0.000 0.000 0.197 1
Zr3 0.000 0.000 0.395 1
Fe1 0.500 0.500 0.099 1
Fe2 0.500 0.500 0.296 1
Os1 0.500 0.500 0.500 1
# Formation enthalpy at 0 K = -0.248 eV/atom
# Total moment = 0.67 Bohr magnetons per cell